Ba3Pu2MoO9 | PBE+U | optimized geometry

Summary:
space group	P-3m1, No. 164
total moment	10.0	μB per formula unit
uncorrected energy	-127.2	eV/cell

Cell lengths 6.1078, 6.1078, 7.5110 Å; angles 90.00, 90.00, 120.00 degrees
With the nearest neighbours (Å) after each atom.
Fractional coordinates of all 15 atoms:
O 0.1650 0.8350 0.3360  1 Mo 2.14, 1 Pu 2.16
O 0.1650 0.3299 0.3360  1 Mo 2.14, 1 Pu 2.16
O 0.5000 0.0000 0.0000  2 Pu 2.19
O 0.3299 0.1650 0.6640  1 Mo 2.14, 1 Pu 2.16
O 0.5000 0.5000 0.0000  2 Pu 2.19
O 0.6701 0.8350 0.3360  1 Mo 2.14, 1 Pu 2.16
O 0.0000 0.5000 0.0000  2 Pu 2.19
O 0.8350 0.6701 0.6640  1 Mo 2.14, 1 Pu 2.16
O 0.8350 0.1650 0.6640  1 Mo 2.14, 1 Pu 2.16
Ba 0.6667 0.3333 0.3431  12 O 3.00-3.12
Ba 0.0000 0.0000 0.0000  12 O 3.05-3.07
Ba 0.3333 0.6667 0.6569  12 O 3.00-3.12
Pu 0.6667 0.3333 0.8276  6 O 2.16-2.19
Pu 0.3333 0.6667 0.1724  6 O 2.16-2.19
Mo 0.0000 0.0000 0.5000  6 O 2.14